## GaSbCI2 (PBE)

Data for a geometry-optimized GaSbCI2 structure.

## Properties
energy above the most stable polymorph in this dataset = 0 kJ/mol of formula units
ΔE_f (raw) = 0.98 eV/atom

The structure in POSCAR format:
```
GaSbCI2
1.0
5.2824 0.0000 0.0000
0.0000 5.2824 0.0000
0.0000 0.0000 4.7264
Ga I Sb C
1 2 1 1
Direct
0.5000 0.5000 0.5000
0.5000 0.0000 0.0000
0.0000 0.5000 0.0000
0.0000 0.0000 0.5000
0.0000 0.0000 0.0000
```